Below is a relaxed structure of GdLuBe4, with properties calculated at the GGA-PBE level.

Unit cell a=7.064 b=7.064 c=7.064 alpha=90.00 beta=90.00 gamma=90.00
Space group F-43m (No. 216)
Inequivalent atoms, fractional coordinates:
Gd 0.000 0.000 0.000 (multiplicity 4)
Lu 0.250 0.250 0.250 (multiplicity 4)
Be 0.125 0.125 0.625 (multiplicity 16)

Summary:
- Formation energy from the elements: 0.07 eV/atom

***

Below is a relaxed structure of Gd2LuBe, with properties calculated at the GGA-PBE level.

Unit cell a=3.4106 b=3.4106 c=34.0873 alpha=90.00 beta=90.00 gamma=120.00
Space group R-3m (No. 166, hexagonal axes)
Inequivalent atoms, fractional coordinates:
Gd 0.0000 0.0000 0.0843 (multiplicity 6)
Lu 0.0000 0.0000 0.5000 (multiplicity 3)
Be 0.0000 0.0000 0.0000 (multiplicity 3)

Summary:
- Formation energy from the elements: 0.68 eV/atom

***

Below is a relaxed structure of GdLuMgBe, with properties calculated at the GGA-PBE level.

Unit cell a=7.163 b=7.163 c=7.163 alpha=90.00 beta=90.00 gamma=90.00
Space group F-43m (No. 216)
Inequivalent atoms, fractional coordinates:
Gd 0.000 0.000 0.000 (multiplicity 4)
Lu 0.000 0.000 0.500 (multiplicity 4)
Mg 0.250 0.250 0.750 (multiplicity 4)
Be 0.250 0.250 0.250 (multiplicity 4)

Summary:
- Formation energy from the elements: 0.09 eV/atom

***

Calculated volume, respectively: 352.44, 343.40, 367.52 Å³ per cell.
Energy, respectively: -5.51, -8.42, -5.89 eV/atom.
Calculated density, respectively: 6.94, 7.23, 6.61 g/cm3.